! Na7Cu12S10 (SCAN, PBEsol geometry); values from VASP
! **Calculated volume**: 16.399 Å³/atom
! **Formation energy without anion corrections**: -0.66 eV/atom
! **Space-group type**: No. 10
! **Fermi-level density of states**: 7.96 states/eV per cell
! **Size of the total moment**: 0.00 μB/atom
&SYSTEM
  ibrav = 0, nat = 58, ntyp = 3
/
ATOMIC_SPECIES
Na 22.99 Na.upf
Cu 63.55 Cu.upf
S 32.06 S.upf
ATOMIC_POSITIONS crystal
Na 0.000 0.000 0.000
Na 0.105 0.500 0.696
Na 0.185 0.500 0.894
Na 0.220 0.000 0.405
Na 0.298 0.000 0.604
Na 0.302 0.500 0.083
Na 0.381 0.500 0.290
Na 0.500 0.000 0.000
Na 0.619 0.500 0.710
Na 0.698 0.500 0.917
Na 0.702 0.000 0.396
Na 0.780 0.000 0.595
Na 0.815 0.500 0.106
Na 0.895 0.500 0.304
Cu 0.010 0.000 0.420
Cu 0.025 0.500 0.154
Cu 0.054 0.000 0.267
Cu 0.087 0.500 0.498
Cu 0.148 0.000 0.134
Cu 0.174 0.500 0.246
Cu 0.314 0.000 0.803
Cu 0.388 0.500 0.888
Cu 0.413 0.500 0.721
Cu 0.428 0.000 0.450
Cu 0.454 0.500 0.566
Cu 0.483 0.000 0.804
Cu 0.517 0.000 0.196
Cu 0.546 0.500 0.434
Cu 0.572 0.000 0.550
Cu 0.587 0.500 0.279
Cu 0.612 0.500 0.112
Cu 0.686 0.000 0.197
Cu 0.826 0.500 0.754
Cu 0.852 0.000 0.866
Cu 0.913 0.500 0.502
Cu 0.946 0.000 0.733
Cu 0.975 0.500 0.846
Cu 0.990 0.000 0.580
S 0.056 0.000 0.824
S 0.077 0.500 0.354
S 0.126 0.500 0.057
S 0.130 0.000 0.561
S 0.256 0.000 0.231
S 0.273 0.500 0.735
S 0.325 0.000 0.944
S 0.348 0.500 0.471
S 0.470 0.500 0.136
S 0.477 0.000 0.656
S 0.523 0.000 0.344
S 0.530 0.500 0.864
S 0.652 0.500 0.529
S 0.675 0.000 0.056
S 0.727 0.500 0.265
S 0.744 0.000 0.769
S 0.870 0.000 0.439
S 0.874 0.500 0.943
S 0.923 0.500 0.646
S 0.944 0.000 0.176
CELL_PARAMETERS angstrom
15.956 0.000 0.000
0.000 3.724 0.000
-0.063 0.000 16.008